# Tb3WO7, relaxed, DFT GGA+U
data_Tb3WO7
_cell_length_a 7.5524
_cell_length_b 10.6034
_cell_length_c 7.5172
_cell_angle_alpha 90.00
_cell_angle_beta 90.00
_cell_angle_gamma 90.00
_symmetry_space_group_name_H-M 'C 2 2 21'
_symmetry_Int_Tables_number 20
loop_
_symmetry_equiv_pos_as_xyz
'x,y,z'
'-x,-y,z+1/2'
'x,-y,-z'
'-x,y,-z+1/2'
'x+1/2,y+1/2,z'
'-x+1/2,-y+1/2,z+1/2'
'x+1/2,-y+1/2,-z'
'-x+1/2,y+1/2,-z+1/2'
loop_
_atom_site_label
_atom_site_type_symbol
_atom_site_fract_x
_atom_site_fract_y
_atom_site_fract_z
Tb1 Tb 0.0205 0.0000 0.0000
Tb2 Tb 0.2327 0.2662 0.7538
W1 W 0.0002 0.5000 0.0000
O1 O 0.0000 0.1310 0.2500
O2 O 0.0000 0.1364 0.7500
O3 O 0.0000 0.4260 0.7500
O4 O 0.1904 0.3745 0.0335
O5 O 0.2035 0.3783 0.4734
# magnetization	1.00	μB/f.u.
# DOS at the Fermi energy	0.0000	states/eV per atom
# VASP energy	-361.99	eV per cell